[1]
Pr5Bi2Sb2: optimized geometry, GGA-PBE.

Output
magnetization	0.00	μB/cell
polymorph energy (0 for the lowest one)	0.0000	eV per atom

Cell and atoms, written as CIF:
```
data_Pr5Bi2Sb2
_chemical_formula_sum 'Pr20 Bi8 Sb8'
_symmetry_space_group_name_H-M 'C m c e'
_symmetry_Int_Tables_number 64
_symmetry_space_group_name_Hall '-C 2ac 2'
_cell_length_a 16.217
_cell_length_b 8.495
_cell_length_c 8.559
_cell_angle_alpha 90.00
_cell_angle_beta 90.00
_cell_angle_gamma 90.00
loop_
_atom_site_label
_atom_site_type_symbol
_atom_site_fract_x
_atom_site_fract_y
_atom_site_fract_z
Pr1 Pr 0.000 0.000 0.000
Pr2 Pr 0.133 0.162 0.339
Bi1 Bi 0.202 0.000 0.000
Sb1 Sb 0.000 0.140 0.640
```

[2]
Pr4BiSb3: optimized geometry, GGA-PBE.

Output
magnetization	0.00	μB/cell
raw total energy	-5.558	eV/atom

Cell and atoms, written as CIF:
```
data_Pr4BiSb3
_chemical_formula_sum 'Pr4 Bi1 Sb3'
_symmetry_space_group_name_H-M 'P m -3 m'
_symmetry_Int_Tables_number 221
_symmetry_space_group_name_Hall '-P 4 2 3'
_cell_length_a 6.471
_cell_length_b 6.471
_cell_length_c 6.471
_cell_angle_alpha 90.00
_cell_angle_beta 90.00
_cell_angle_gamma 90.00
loop_
_atom_site_label
_atom_site_type_symbol
_atom_site_fract_x
_atom_site_fract_y
_atom_site_fract_z
Pr1 Pr 0.000 0.000 0.000
Pr2 Pr 0.000 0.500 0.500
Bi1 Bi 0.500 0.500 0.500
Sb1 Sb 0.000 0.000 0.500
```

[3]
Pr6Bi5Sb: optimized geometry, GGA-PBE.

Output
magnetization	0.00	μB/cell
raw total energy	-5.349	eV/atom

Cell and atoms, written as CIF:
```
data_Pr6Bi5Sb
_chemical_formula_sum 'Pr12 Bi10 Sb2'
_symmetry_space_group_name_H-M 'C 1 2/m 1'
_symmetry_Int_Tables_number 12
_symmetry_space_group_name_Hall '-C 2y'
_cell_length_a 8.016
_cell_length_b 13.881
_cell_length_c 8.015
_cell_angle_alpha 90.00
_cell_angle_beta 109.45
_cell_angle_gamma 90.00
loop_
_atom_site_label
_atom_site_type_symbol
_atom_site_fract_x
_atom_site_fract_y
_atom_site_fract_z
Pr1 Pr 0.247 0.000 0.251
Pr2 Pr 0.247 0.165 0.748
Bi1 Bi 0.000 0.168 0.000
Bi2 Bi 0.000 0.334 0.500
Bi3 Bi 0.000 0.500 0.000
Sb1 Sb 0.000 0.000 0.500
```